Entry 1:
{
  "formula": "Sm12Dy5Y",
  "functional": "PBE-GGA",
  "state": "relaxed",
  "magmom_total_mub_per_cell": 0.0,
  "e_form_mev_per_atom": 17,
  "cell": [[15.271, -0.006, 0.018], [7.633, 7.640, 0.009], [-0.005, 0.000, 5.097]],
  "species": ["Sm", "Sm", "Sm", "Sm", "Sm", "Sm", "Sm", "Sm", "Sm", "Sm", "Sm", "Sm", "Dy", "Dy", "Dy", "Dy", "Dy", "Y"],
  "frac_coords": [[0.834, 0.000, 0.500], [0.166, 0.000, 0.500], [0.666, 0.000, 0.000], [0.334, 0.000, 0.000], [0.333, 0.666, 0.000], [0.001, 0.666, 0.000], [0.999, 0.334, 0.000], [0.667, 0.334, 0.000], [0.499, 0.333, 0.500], [0.832, 0.667, 0.500], [0.168, 0.333, 0.500], [0.501, 0.667, 0.500], [0.500, 0.000, 0.500], [0.167, 0.666, 0.500], [0.833, 0.334, 0.500], [0.667, 0.667, 0.000], [0.333, 0.333, 0.000], [0.000, 0.000, 0.000]]
}

***

Entry 2:
{
  "formula": "AlTl2Cl8",
  "functional": "PBE-GGA",
  "state": "relaxed",
  "e_form_raw_kj_per_mol_atoms": -86.0,
  "magmom_total_mub_per_cell": 0.0,
  "cell": [[-0.915, -5.972, -2.367], [5.461, -3.923, 5.720], [-1.037, -3.792, 7.904]],
  "species": ["Al", "Tl", "Tl", "Cl", "Cl", "Cl", "Cl", "Cl", "Cl", "Cl", "Cl"],
  "frac_coords": [[0.000, 0.000, 0.000], [0.531, 0.148, 0.148], [0.469, 0.852, 0.852], [0.229, 0.194, 0.710], [0.229, 0.710, 0.194], [0.771, 0.806, 0.290], [0.403, 0.703, 0.703], [0.771, 0.290, 0.806], [0.131, 0.134, 0.134], [0.869, 0.866, 0.866], [0.597, 0.297, 0.297]]
}

***

Entry 3:
{
  "formula": "NaPmY2Hg4",
  "functional": "PBE-GGA",
  "state": "relaxed",
  "magmom_total_mub_per_cell": 0.0,
  "e_form_mev_per_atom": -418,
  "cell": [[5.239, 0.000, 0.000], [2.619, 4.537, 0.000], [2.619, 1.512, 8.736]],
  "species": ["Na", "Pm", "Y", "Y", "Hg", "Hg", "Hg", "Hg"],
  "frac_coords": [[0.500, 0.500, 0.500], [0.000, 0.000, 0.000], [0.755, 0.755, 0.735], [0.245, 0.245, 0.265], [0.377, 0.377, 0.868], [0.875, 0.875, 0.375], [0.125, 0.125, 0.625], [0.623, 0.623, 0.132]]
}

***

Entry 4:
{
  "formula": "AsIN3",
  "functional": "PBE-GGA",
  "state": "relaxed",
  "e_form_raw_kj_per_mol_atoms": 175.4,
  "magmom_total_mub_per_cell": 0.0,
  "cell": [[3.852, 0.000, 0.000], [0.000, 3.852, 0.000], [0.000, 0.000, 3.852]],
  "species": ["I", "As", "N", "N", "N"],
  "frac_coords": [[0.500, 0.500, 0.500], [0.000, 0.000, 0.000], [0.000, 0.500, 0.000], [0.000, 0.000, 0.500], [0.500, 0.000, 0.000]]
}